# 1
# MgRuW, relaxed, DFT PBE
data_MgRuW
_chemical_formula_sum 'Mg4 Ru4 W4'
_cell_length_a 6.6630
_cell_length_b 4.1929
_cell_length_c 7.5396
_cell_angle_alpha 90.00
_cell_angle_beta 90.00
_cell_angle_gamma 90.00
_space_group_name_H-M_alt 'P n m a'
_space_group_IT_number 62
loop_
_space_group_symop_operation_xyz
'x,y,z'
'-x,-y,-z'
'-x+1/2,-y,z+1/2'
'x+1/2,y,-z+1/2'
'x+1/2,-y+1/2,-z+1/2'
'-x+1/2,y+1/2,z+1/2'
'-x,y+1/2,-z'
'x,-y+1/2,z'
loop_
_atom_site_label
_atom_site_type_symbol
_atom_site_fract_x
_atom_site_fract_y
_atom_site_fract_z
Mg1 Mg 0.0202 0.2500 0.1766
Ru1 Ru 0.2159 0.7500 0.3867
W1 W 0.1537 0.2500 0.5663
# Distance to the lowest polymorph of the same formula, eV per formula unit: 0.08
# Electronic total energy, eV/atom: -7.832
# Calculated formation energy, eV/atom: 0.11
# DOS at the Fermi energy, states/eV/cell: 7.2
# Calculated volume, A^3/atom: 17.55

***

# 2
# Pr5Y4Pu, relaxed, DFT PBE
data_Pr5Y4Pu
_chemical_formula_sum 'Pr10 Y8 Pu2'
_cell_length_a 17.2513
_cell_length_b 3.5768
_cell_length_c 11.6312
_cell_angle_alpha 90.00
_cell_angle_beta 109.08
_cell_angle_gamma 90.00
_space_group_name_H-M_alt 'C 1 2/m 1'
_space_group_IT_number 12
loop_
_space_group_symop_operation_xyz
'x,y,z'
'-x,-y,-z'
'-x,y,-z'
'x,-y,z'
'x+1/2,y+1/2,z'
'-x+1/2,-y+1/2,-z'
'-x+1/2,y+1/2,-z'
'x+1/2,-y+1/2,z'
loop_
_atom_site_label
_atom_site_type_symbol
_atom_site_fract_x
_atom_site_fract_y
_atom_site_fract_z
Pr1 Pr 0.0000 0.0000 0.0000
Pr2 Pr 0.1858 0.5000 0.5779
Pr3 Pr 0.2102 0.5000 0.1140
Y1 Y 0.0820 0.5000 0.7879
Y2 Y 0.1043 0.0000 0.3001
Pu1 Pu 0.0000 0.0000 0.5000
# Electronic total energy, eV/atom: -6.340
# Calculated formation energy, eV/atom: 0.07
# DOS at the Fermi energy, states/eV/cell: 36.9
# Calculated volume, A^3/atom: 33.91

***

# 3
# BaNbAg3, relaxed, DFT PBE
data_BaNbAg3
_chemical_formula_sum 'Ba1 Nb1 Ag3'
_cell_length_a 5.7339
_cell_length_b 5.7339
_cell_length_c 5.7339
_cell_angle_alpha 90.00
_cell_angle_beta 90.00
_cell_angle_gamma 90.00
_space_group_name_H-M_alt 'P m -3 m'
_space_group_IT_number 221
_space_group_name_Hall '-P 4 2 3'
loop_
_atom_site_label
_atom_site_type_symbol
_atom_site_fract_x
_atom_site_fract_y
_atom_site_fract_z
Ba1 Ba 0.0000 0.0000 0.0000
Nb1 Nb 0.5000 0.5000 0.5000
Ag1 Ag 0.0000 0.0000 0.5000
# Distance to the lowest polymorph of the same formula, eV per formula unit: 5.50
# Electronic total energy, eV/atom: -2.408
# Calculated formation energy, eV/atom: 1.70
# DOS at the Fermi energy, states/eV/cell: 5.4
# Calculated volume, A^3/atom: 37.70

***

# 4
# InGeSe2N, relaxed, DFT PBE
data_InGeSe2N
_chemical_formula_sum 'In1 Ge1 Se2 N1'
_cell_length_a 5.2772
_cell_length_b 5.2772
_cell_length_c 3.6207
_cell_angle_alpha 90.00
_cell_angle_beta 90.00
_cell_angle_gamma 90.00
_space_group_name_H-M_alt 'P 4/m m m'
_space_group_IT_number 123
_space_group_name_Hall '-P 4 2'
loop_
_atom_site_label
_atom_site_type_symbol
_atom_site_fract_x
_atom_site_fract_y
_atom_site_fract_z
In1 In 0.0000 0.0000 0.0000
Ge1 Ge 0.5000 0.5000 0.5000
Se1 Se 0.0000 0.5000 0.5000
N1 N 0.5000 0.5000 0.0000
# Distance to the lowest polymorph of the same formula, eV per formula unit: 0.00
# Electronic total energy, eV/atom: -4.081
# DOS at the Fermi energy, states/eV/cell: 4.3
# ΔE_f (raw), eV/atom: 0.449
# Calculated volume, A^3/atom: 20.17